# 1
Below is a geometry-optimized Ac2DyHfO6 structure, with properties calculated at the PBE-GGA level.

## Properties
Theoretical density (g cm⁻³): 9.6
Symmetry: P2_1/c, No. 14
DOS(E_F) (states/eV per cell): 7.20
V (Å³ per atom): 15.42
Formation energy (no corrections) (eV per atom): -3.2925

```
20
Lattice="5.985 0.000 0.000 0.000 6.058 0.000 -5.958 0.000 8.508" Properties=species:S:1:pos:R:3 pbc="T T T"
Ac -0.004 0.320 2.102
Ac -2.983 2.710 6.356
Ac 3.010 3.349 2.152
Ac 0.031 5.739 6.406
Dy 2.992 0.000 0.000
Dy 0.013 3.029 4.254
Hf -2.979 0.000 4.254
Hf 0.000 3.029 0.000
O -4.882 1.238 8.115
O -1.903 1.791 3.861
O -4.180 4.160 8.112
O -1.201 4.927 3.858
O -2.438 0.192 6.299
O 0.541 2.837 2.044
O -0.514 3.222 6.464
O 2.465 5.866 2.210
O 1.228 1.131 4.650
O 4.207 1.898 0.396
O 1.930 4.267 4.647
O 4.909 4.820 0.393
```



# 2
Below is a geometry-optimized CeZnCdIn structure, with properties calculated at the PBE-GGA level.

## Properties
Theoretical density (g cm⁻³): 7.7
Symmetry: F-43m, No. 216
Offset from the most stable computed form (meV/atom): 12
DOS(E_F) (states/eV per cell): 6.16
Formation energy (kJ/mol of atoms): -21.82
V (Å³ per atom): 23.43

```
4
Lattice="0.000 3.605 3.605 3.605 0.000 3.605 3.605 3.605 0.000" Properties=species:S:1:pos:R:3 pbc="T T T"
Ce 0.000 0.000 0.000
Zn 1.803 1.803 1.803
Cd 3.605 3.605 3.605
In 5.408 5.408 5.408
```